Entry 1:
Entry from Alexandria via LeMat-Bulk: a geometry-optimized SbIrS structure (PBE-GGA).

space group: No. 29
formation energy from raw total energies: -0.473 eV per atom
magnetization: 0.000 μB per atom

Cell: 6.1097 6.0968 6.1111 Å, 90.00 90.00 90.00°
Positions (direct):
Sb  0.1202  0.1342  0.0000
Sb  0.3798  0.1342  0.5000
Sb  0.6202  0.8658  0.0000
Sb  0.8798  0.8658  0.5000
Ir  0.0112  0.7330  0.8832
Ir  0.4888  0.7330  0.3832
Ir  0.5112  0.2670  0.8832
Ir  0.9888  0.2670  0.3832
S  0.1182  0.6264  0.2610
S  0.3818  0.6264  0.7610
S  0.6182  0.3736  0.2610
S  0.8818  0.3736  0.7610

***

Entry 2:
Entry from Alexandria via LeMat-Bulk: a geometry-optimized Co3NiIr structure (PBE-GGA).

space group: No. 221
energy relative to the elements: 1.24 eV per atom
magnetization: 1.499 μB per atom

Cell: 4.1686 4.1686 4.1686 Å, 90.00 90.00 90.00°
Positions (direct):
Co  0.0000  0.0000  0.5000
Co  0.0000  0.5000  0.0000
Co  0.5000  0.0000  0.0000
Ni  0.0000  0.0000  0.0000
Ir  0.5000  0.5000  0.5000

***

Entry 3:
Entry from Alexandria via LeMat-Bulk: a geometry-optimized PmErIrI structure (PBE-GGA).

space group: No. 160
formation energy from raw total energies: -0.956 eV per atom
magnetization: 0.000 μB per atom

Cell: 8.3197 8.3197 8.3197 Å, 28.85 28.85 28.85°
Positions (direct):
Pm  0.0000  0.0000  0.0000
Er  0.2136  0.2136  0.2136
Ir  0.6038  0.6038  0.6038
I  0.7759  0.7759  0.7759